{"formula": "YVF2", "functional": "GGA+U", "state": "optimized geometry", "n_ef_per_ev_cell": 1.66, "sg": "R-3m, No. 166", "total_magnetization_mub_per_cell": 1.89, "e_tot_ev_per_cell": -24.72, "cell": [[2.080, 0.000, 6.237], [-1.040, 1.801, 6.237], [-1.040, -1.801, 6.237]], "species": ["Y", "V", "F", "F"], "frac_coords": [[0.000, 0.000, 0.000], [0.500, 0.500, 0.500], [0.874, 0.874, 0.874], [0.126, 0.126, 0.126]]}